First-principles (PBE) data for an optimized crystal structure of KLuPd, as listed in OQMD via LeMat-Bulk.

The structure belongs to space group F-43m (No. 216); the cell edges are 7.065, 7.065 and 7.065 Å and the angles 90.00°, 90.00° and 90.00°. The asymmetric unit holds K at (0.000, 0.000, 0.000), Lu at (0.000, 0.000, 0.500) and Pd at (0.250, 0.250, 0.250).

Its size of the total moment is 0.0007 μB per atom. The total energy is -3.526 eV per atom.

---

First-principles (PBE) data for an optimized crystal structure of Nb2FeBi, as listed in OQMD via LeMat-Bulk.

The structure belongs to space group F-43m (No. 216); the cell edges are 6.607, 6.607 and 6.607 Å and the angles 90.00°, 90.00° and 90.00°. The asymmetric unit holds Nb at (0.000, 0.000, 0.000), Nb at (0.250, 0.250, 0.250), Fe at (0.250, 0.250, 0.750) and Bi at (0.000, 0.000, 0.500).

Its size of the total moment is 0.4092 μB per atom. The total energy is -7.658 eV per atom.

---

First-principles (PBE) data for an optimized crystal structure of WSe2, as listed in OQMD via LeMat-Bulk.

The structure belongs to space group P6_3mc (No. 186); the cell edges are 3.3242, 3.3242 and 27.4458 Å and the angles 90.00°, 90.00° and 120.00°. The asymmetric unit holds W at (0.3333, 0.6667, 0.0000), W at (0.3333, 0.6667, 0.2540), Se at (0.0000, 0.0000, 0.0612), Se at (0.0000, 0.0000, 0.4388), Se at (0.3333, 0.6667, 0.6929) and Se at (0.3333, 0.6667, 0.8152).

Its size of the total moment is 0.0000 μB per atom. The total energy is -7.199 eV per atom.

---

First-principles (PBE) data for an optimized crystal structure of TlCdCuNi, as listed in OQMD via LeMat-Bulk.

The structure belongs to space group F-43m (No. 216); the cell edges are 6.487, 6.487 and 6.487 Å and the angles 90.00°, 90.00° and 90.00°. The asymmetric unit holds Tl at (0.000, 0.000, 0.000), Cd at (0.250, 0.250, 0.750), Cu at (0.250, 0.250, 0.250) and Ni at (0.000, 0.000, 0.500).

Its size of the total moment is 0.0004 μB per atom. The total energy is -2.788 eV per atom.

---

First-principles (PBE) data for an optimized crystal structure of NdScW, as listed in OQMD via LeMat-Bulk.

The structure belongs to space group F-43m (No. 216); the cell edges are 6.744, 6.744 and 6.744 Å and the angles 90.00°, 90.00° and 90.00°. The asymmetric unit holds Nd at (0.000, 0.000, 0.000), Sc at (0.000, 0.000, 0.500) and W at (0.250, 0.250, 0.250).

The calculation puts the energy relative to the elements at 879 meV per atom. Its size of the total moment is 0.0013 μB per atom.

---

First-principles (PBE) data for an optimized crystal structure of SrTmHg6, as listed in OQMD via LeMat-Bulk.

The structure belongs to space group P-6m2 (No. 187); the cell edges are 6.6644, 6.6644 and 5.0870 Å and the angles 90.00°, 90.00° and 120.00°. The asymmetric unit holds Sr at (0.0000, 0.0000, 0.0000), Tm at (0.3333, 0.6667, 0.5000), Hg at (0.0038, 0.5019, 0.0000) and Hg at (0.3482, 0.1741, 0.5000).

Its size of the total moment is 0.0018 μB per atom. The total energy is -1.323 eV per atom.

---

First-principles (PBE) data for an optimized crystal structure of GdDyGe2, as listed in OQMD via LeMat-Bulk.

The structure belongs to space group Amm2 (No. 38); the cell edges are 3.273, 5.853 and 11.501 Å and the angles 90.00°, 90.00° and 90.00°. The asymmetric unit holds Gd at (0.000, 0.000, 0.000), Dy at (0.000, 0.000, 0.700), Ge at (0.000, 0.000, 0.244) and Ge at (0.000, 0.000, 0.457).

Its size of the total moment is 0.0064 μB per atom. The total energy is -4.585 eV per atom.

---

First-principles (PBE) data for an optimized crystal structure of LaYAl2Pd4, as listed in OQMD via LeMat-Bulk.

The structure belongs to space group P-6m2 (No. 187); the cell edges are 4.4064, 4.4064 and 9.3260 Å and the angles 90.00°, 90.00° and 120.00°. The asymmetric unit holds La at (0.0000, 0.0000, 0.0000), Y at (0.3333, 0.6667, 0.5000), Al at (0.6667, 0.3333, 0.2611), Pd at (0.0000, 0.0000, 0.3326) and Pd at (0.3333, 0.6667, 0.1851).

Its size of the total moment is 0.0000 μB per atom. The total energy is -5.860 eV per atom.